Entry from Alexandria: a relaxed AgHg2Au8 crystal (PBE-GGA).

Cell: 7.1987 7.1987 5.1938 Å, 105.32 105.32 78.83°
Last column: nearest neighbours and their distance in Å.
Element x y z (fractional)
Ag  0.0000  0.0000  0.0000  6 Au 2.79-2.81, 4 Hg 3.02-3.08
Hg  0.1532  0.1532  0.6063  2 Au 2.83-2.90, 2 Ag 3.02-3.08
Hg  0.8468  0.8468  0.3937  2 Au 2.83-2.90, 2 Ag 3.02-3.08
Au  0.1385  0.6097  0.9984  6 Au 2.78-2.93, 1 Ag 2.79
Au  0.2692  0.2692  0.1993  6 Au 2.76-2.96, 1 Ag 2.81, 2 Hg 2.83-2.90
Au  0.3903  0.8615  0.0016  6 Au 2.78-2.93, 1 Ag 2.79
Au  0.4536  0.4536  0.7158  8 Au 2.76-2.96
Au  0.5464  0.5464  0.2842  8 Au 2.76-2.96
Au  0.6097  0.1385  0.9984  6 Au 2.78-2.93, 1 Ag 2.79
Au  0.7308  0.7308  0.8007  6 Au 2.76-2.96, 1 Ag 2.81, 2 Hg 2.83-2.90
Au  0.8615  0.3903  0.0016  6 Au 2.78-2.93, 1 Ag 2.79

Entry from Alexandria: a relaxed AgHgAu crystal (PBE-GGA).

Cell: 4.8128 4.8128 2.9215 Å, 90.00 90.00 120.00°
Last column: nearest neighbours and their distance in Å.
Element x y z (fractional)
Ag  0.0000  0.0000  0.0000  2 Ag 2.92, 3 Au 3.00, 6 Hg 3.02-3.27
Hg  0.3333  0.6667  0.5908  3 Au 2.84, 2 Hg 2.92, 3 Ag 3.02
Au  0.6667  0.3333  0.3890  3 Hg 2.84, 2 Au 2.92, 3 Ag 3.00

Entry from Alexandria: a relaxed Ag4Hg2Au crystal (PBE-GGA).

Cell: 5.9250 5.9024 5.8930 Å, 60.31 59.93 59.77°
Last column: nearest neighbours and their distance in Å.
Element x y z (fractional)
Ag  0.0000  0.5000  0.0000  4 Ag 2.95, 2 Au 2.95, 4 Hg 2.96
Ag  0.0000  0.5000  0.5000  4 Ag 2.95, 4 Hg 2.95, 2 Au 2.96
Ag  0.5000  0.0000  0.0000  4 Ag 2.95, 4 Hg 2.95, 2 Au 2.96
Ag  0.5000  0.0000  0.5000  4 Ag 2.95, 2 Au 2.95, 4 Hg 2.96
Hg  0.0000  0.0000  0.5000  2 Au 2.95, 8 Ag 2.95-2.96
Hg  0.5000  0.5000  0.0000  2 Au 2.95, 8 Ag 2.95-2.96
Au  0.0000  0.0000  0.0000  4 Hg 2.95, 8 Ag 2.95-2.96

Entry from Alexandria: a relaxed Ag2HgAu crystal (PBE-GGA).

Cell: 3.0708 3.0708 9.6457 Å, 98.77 98.77 59.63°
Last column: nearest neighbours and their distance in Å.
Element x y z (fractional)
Ag  0.0000  0.0000  0.0000  3 Au 2.89-2.90, 3 Hg 3.03-3.04, 6 Ag 3.05-3.07
Ag  0.1779  0.1779  0.5191  3 Au 2.88-2.90, 3 Hg 3.02-3.07, 6 Ag 3.05-3.07
Hg  0.7530  0.7530  0.2596  6 Ag 3.02-3.07, 6 Hg 3.05-3.07
Au  0.5892  0.5892  0.7595  6 Ag 2.88-2.90, 6 Au 3.05-3.07

| no. | DOS(E_F) (states/eV/f.u.) | formation energy (meV/atom) | theoretical density (g cm⁻³) |
| --- | --- | --- | --- |
| 1 | 4.22 | 132 | 13.951 |
| 2 | 0.96 | 68 | 14.321 |
| 3 | 2.18 | 72 | 11.733 |
| 4 | 0.70 | 46 | 13.182 |